VASP calculation (PBE) on an optimized crystal structure of ZnPtPb4.

Cell lengths 6.283, 6.283, 6.283 Å; angles 60.00, 60.00, 60.00 degrees
Atoms (fractional coordinates):
1 Zn 0.000 0.000 0.000
2 Pt 0.750 0.750 0.750
3 Pb 0.874 0.375 0.375
4 Pb 0.375 0.375 0.874
5 Pb 0.375 0.874 0.375
6 Pb 0.375 0.375 0.375

Calculated values
final energy	-3.107	eV/atom
formation enthalpy at 0 K	0.5842	eV/atom

VASP calculation (PBE) on an optimized crystal structure of YSc2V2.

Cell lengths 8.115, 8.115, 3.296 Å; angles 90.00, 90.00, 90.00 degrees
Atoms (fractional coordinates):
1 Y 0.000 0.000 0.000
2 Y 0.500 0.500 0.000
3 Sc 0.368 0.868 0.000
4 Sc 0.868 0.632 0.000
5 Sc 0.632 0.132 0.000
6 Sc 0.132 0.368 0.000
7 V 0.163 0.663 0.500
8 V 0.663 0.837 0.500
9 V 0.837 0.337 0.500
10 V 0.337 0.163 0.500

Calculated values
final energy	-7.101	eV/atom
formation enthalpy at 0 K	0.3721	eV/atom

VASP calculation (PBE) on an optimized crystal structure of AcNd2Dy2Y2.

Cell lengths 5.174, 6.346, 8.169 Å; angles 97.77, 90.00, 114.06 degrees
Atoms (fractional coordinates):
1 Ac 0.000 0.000 0.000
2 Nd 0.715 0.431 0.149
3 Nd 0.285 0.569 0.851
4 Dy 0.574 0.147 0.707
5 Dy 0.426 0.853 0.293
6 Y 0.142 0.284 0.433
7 Y 0.858 0.716 0.567

Calculated values
final energy	-5.073	eV/atom
formation enthalpy at 0 K	0.0381	eV/atom

VASP calculation (PBE) on an optimized crystal structure of SrTl4Sn.

Cell lengths 6.617, 6.749, 8.635 Å; angles 90.00, 101.54, 90.00 degrees
Atoms (fractional coordinates):
1 Sr 0.663 0.250 0.672
2 Sr 0.337 0.750 0.328
3 Tl 0.195 0.998 0.671
4 Tl 0.805 0.002 0.329
5 Tl 0.805 0.498 0.329
6 Tl 0.195 0.502 0.671
7 Tl 0.000 0.500 0.000
8 Tl 0.000 0.000 0.000
9 Tl 0.469 0.250 0.038
10 Tl 0.531 0.750 0.962
11 Sn 0.767 0.750 0.656
12 Sn 0.233 0.250 0.344

Calculated values
final energy	-2.705	eV/atom
formation enthalpy at 0 K	-0.1798	eV/atom

VASP calculation (PBE) on an optimized crystal structure of Pa3MnSi2.

Cell lengths 4.098, 9.998, 11.655 Å; angles 90.00, 90.00, 90.00 degrees
Atoms (fractional coordinates):
1 Pa 0.250 0.403 0.047
2 Pa 0.750 0.597 0.953
3 Pa 0.750 0.903 0.453
4 Pa 0.250 0.097 0.547
5 Pa 0.250 0.735 0.233
6 Pa 0.750 0.265 0.767
7 Pa 0.750 0.235 0.267
8 Pa 0.250 0.765 0.733
9 Pa 0.250 0.435 0.373
10 Pa 0.750 0.565 0.627
11 Pa 0.750 0.935 0.127
12 Pa 0.250 0.065 0.873
13 Mn 0.250 0.151 0.119
14 Mn 0.750 0.849 0.881
15 Mn 0.750 0.651 0.381
16 Mn 0.250 0.349 0.619
17 Si 0.250 0.698 0.485
18 Si 0.750 0.302 0.515
19 Si 0.750 0.198 0.015
20 Si 0.250 0.802 0.985
21 Si 0.250 0.023 0.297
22 Si 0.750 0.977 0.703
23 Si 0.750 0.523 0.203
24 Si 0.250 0.477 0.797

Calculated values
final energy	-8.537	eV/atom
formation energy (no corrections)	-0.45	eV per atom

VASP calculation (PBE) on an optimized crystal structure of Y2AgRh.

Cell lengths 3.973, 3.989, 6.098 Å; angles 90.00, 90.00, 90.00 degrees
Atoms (fractional coordinates):
1 Ag 0.000 0.000 0.450
2 Rh 0.500 0.500 0.831
3 Y 0.000 0.000 0.922
4 Y 0.500 0.500 0.297

Calculated values
final energy	-6.136	eV/atom
formation enthalpy at 0 K	-0.3536	eV/atom

VASP calculation (PBE) on an optimized crystal structure of Cr5Os3.

Cell lengths 4.689, 7.310, 7.310 Å; angles 93.90, 113.24, 66.76 degrees
Atoms (fractional coordinates):
1 Cr 0.750 0.500 0.501
2 Cr 0.250 0.500 0.500
3 Cr 0.148 0.855 0.307
4 Cr 0.853 0.145 0.693
5 Cr 0.353 0.307 0.855
6 Cr 0.648 0.693 0.146
7 Cr 0.406 0.796 0.687
8 Cr 0.595 0.204 0.314
9 Cr 0.906 0.314 0.204
10 Cr 0.095 0.686 0.797
11 Os 0.250 0.051 0.051
12 Os 0.750 0.949 0.950
13 Os 0.760 0.459 0.860
14 Os 0.241 0.541 0.141
15 Os 0.741 0.859 0.459
16 Os 0.260 0.141 0.542

Calculated values
final energy	-10.014	eV/atom
formation enthalpy at 0 K	0.2120	eV/atom

VASP calculation (PBE) on an optimized crystal structure of ScTl2Hg.

Cell lengths 5.309, 3.442, 5.625 Å; angles 86.38, 90.00, 90.00 degrees
Atoms (fractional coordinates):
1 Hg 0.500 0.250 0.250
2 Sc 0.500 0.750 0.750
3 Tl 0.000 0.013 0.998
4 Tl 0.000 0.487 0.502

Calculated values
final energy	-2.865	eV/atom
formation enthalpy at 0 K	-0.0240	eV/atom

VASP calculation (PBE) on an optimized crystal structure of CaMnCrN3.

Cell lengths 3.151, 5.716, 7.868 Å; angles 90.00, 90.00, 106.00 degrees
Atoms (fractional coordinates):
1 Ca 0.748 0.496 0.750
2 Ca 0.252 0.504 0.250
3 Mn 0.482 0.963 0.750
4 Mn 0.518 0.037 0.250
5 Cr 0.000 0.000 0.500
6 Cr 0.000 0.000 0.000
7 N 0.616 0.232 0.433
8 N 0.384 0.768 0.567
9 N 0.384 0.768 0.933
10 N 0.616 0.232 0.067
11 N 0.071 0.143 0.750
12 N 0.929 0.857 0.250

Calculated values
final energy	-8.187	eV/atom
formation energy (no corrections)	-0.56	eV per atom

VASP calculation (PBE) on an optimized crystal structure of SrIr2Se.

Cell lengths 4.058, 4.916, 4.961 Å; angles 80.55, 90.00, 90.00 degrees
Atoms (fractional coordinates):
1 Ir 0.000 0.970 0.177
2 Ir 0.500 0.249 0.222
3 Se 0.000 0.494 0.363
4 Sr 0.500 0.787 0.738

Calculated values
final energy	-5.916	eV/atom
formation energy (no corrections)	-0.19	eV per atom

VASP calculation (PBE) on an optimized crystal structure of Pm2Pr4Sn3H2.

Cell lengths 4.828, 4.828, 13.448 Å; angles 100.34, 100.34, 90.00 degrees
Atoms (fractional coordinates):
1 Pm 0.300 0.300 0.600
2 Pm 0.700 0.700 0.400
3 Pr 0.417 0.917 0.833
4 Pr 0.917 0.417 0.833
5 Pr 0.083 0.583 0.167
6 Pr 0.583 0.083 0.167
7 Sn 0.000 0.000 0.000
8 Sn 0.176 0.176 0.352
9 Sn 0.824 0.824 0.648
10 H 0.394 0.394 0.789
11 H 0.606 0.606 0.211

Calculated values
final energy	-4.847	eV/atom

VASP calculation (PBE) on an optimized crystal structure of InAuO2.

Cell lengths 5.338, 5.338, 6.111 Å; angles 64.10, 64.10, 90.00 degrees
Atoms (fractional coordinates):
1 Au 0.000 0.000 0.000
2 Au 0.750 0.250 0.500
3 O 0.576 0.125 0.250
4 O 0.174 0.625 0.250
5 O 0.375 0.424 0.750
6 O 0.875 0.826 0.750
7 In 0.500 0.500 0.000
8 In 0.250 0.750 0.500

Calculated values
final energy	-4.549	eV/atom
formation energy (no corrections)	-0.57	eV per atom